## 1
First-principles (PBE) data for CePr2Ho8 after structural relaxation, as listed in the Alexandria database.

Cell and atoms, written as POSCAR:
```
CePr2Ho8
1.0
-3.874 -0.272 -4.033
-1.173 -9.763 2.471
-5.418 -5.829 6.283
Ho Ce Pr
8 1 2
Cartesian
-2.483 -6.789 1.268
-4.487 -4.931 3.067
-5.978 -10.934 1.653
-2.108 -2.921 0.667
-5.948 -7.280 0.890
-4.517 -8.585 3.831
-7.982 -9.076 3.453
-8.357 -12.944 4.054
0.000 0.000 0.000
-4.772 -4.616 -0.550
-5.693 -11.249 5.271
```

Output
DOS(E_F)	22.11	states/eV/f.u.

***

## 2
First-principles (PBE) data for CePr2Ho8 after structural relaxation, as listed in the Alexandria database.

Cell and atoms, written as POSCAR:
```
CePr2Ho8
1.0
4.872 0.000 -1.297
-0.522 7.697 -1.961
-0.100 -0.074 9.419
Pr Ho Ce
2 8 1
Cartesian
0.733 4.874 2.751
3.516 2.749 3.409
3.713 6.288 4.149
0.536 1.335 2.011
4.426 2.008 6.823
1.634 4.157 6.135
-0.177 5.616 -0.663
2.800 6.951 0.720
2.615 3.467 0.025
1.449 0.673 5.440
2.436 0.000 -0.649
```

Output
DOS(E_F)	18.36	states/eV/f.u.

***

Most stable: 2. Least stable: 1.

***

## 1
First-principles (PBE) data for CePr2Ho after structural relaxation, as listed in the Alexandria database.

Cell and atoms, written as POSCAR:
```
CePr2Ho
1.0
-3.114 1.542 0.361
-1.813 -0.396 2.960
3.969 10.590 5.912
Pr Ho Ce
2 1 1
Cartesian
-3.443 3.844 4.590
2.486 7.892 4.642
-0.479 5.868 4.616
0.000 0.000 0.000
```

Output
DOS(E_F)	8.50	states/eV/f.u.

***

## 2
First-principles (PBE) data for CePr2Ho after structural relaxation, as listed in the Alexandria database.

Cell and atoms, written as POSCAR:
```
CePr2Ho
1.0
5.780 0.000 0.000
2.890 5.005 0.000
2.890 1.668 4.719
Ce Pr Ho
1 2 1
Cartesian
0.000 0.000 0.000
8.670 5.005 3.539
2.890 1.668 1.180
5.780 3.337 2.360
```

Output
DOS(E_F)	10.65	states/eV/f.u.

***

## 3
First-principles (PBE) data for CePr2Ho after structural relaxation, as listed in the Alexandria database.

Cell and atoms, written as POSCAR:
```
CePr2Ho
1.0
5.081 0.000 0.000
0.000 5.123 0.000
0.000 0.000 5.123
Pr Ce Ho
2 1 1
Cartesian
0.000 0.000 2.561
0.000 2.561 0.000
2.541 0.000 0.000
2.541 2.561 2.561
```

Output
DOS(E_F)	8.48	states/eV/f.u.

***

## 4
First-principles (PBE) data for CePr2Ho after structural relaxation, as listed in the Alexandria database.

Cell and atoms, written as POSCAR:
```
CePr2Ho
1.0
-1.333 -1.293 3.071
3.323 -0.265 1.331
-0.725 9.579 3.717
Pr Ce Ho
2 1 1
Cartesian
-0.184 2.436 0.945
-0.541 7.143 2.772
0.632 4.011 4.059
0.995 -0.779 2.201
```

Output
DOS(E_F)	8.43	states/eV/f.u.

***

Most stable: 4. Least stable: 2.